Compound: PrHoTc2O8
Source: Alexandria
Functional: PBE
Structure: optimized geometry

**ΔE_f (raw)**: -2.0682 eV/atom
**Total moment**: 0.333 μB/atom
**Raw total energy**: -7.88 eV/atom
**Crystal system**: trigonal

Lattice parameters (Å, degrees): 5.9099 5.9099 6.9312 90.00 90.00 120.00
Space group P-3m1 (No. 164)
Symmetry-distinct sites (fractional):
Pr 0.0000 0.0000 0.0000
Ho 0.0000 0.0000 0.5000
Tc 0.3333 0.6667 0.7962
O 0.1574 0.3148 0.7257
O 0.3333 0.6667 0.0538